(1)
The following is a PBE-GGA calculation of a relaxed YEr2Tl crystal, from the Alexandria database.

Unit cell a=5.308 b=6.713 c=6.664 alpha=100.90 beta=90.00 gamma=90.00
Fractional coordinates of all 8 atoms:
Y1 0.750 0.367 0.778
Y2 0.250 0.633 0.222
Er1 0.750 0.920 0.095
Er2 0.250 0.080 0.905
Er3 0.750 0.842 0.575
Er4 0.250 0.158 0.425
Tl1 0.750 0.385 0.266
Tl2 0.250 0.615 0.734

Properties
Energy relative to the lowest polymorph listed for this composition   0 meV per atom
Electronic total energy   -37.5 eV per cell
Energy relative to the elements   -202 meV/atom
Density of states at the Fermi level   7.3 states/eV per cell
Density   8.942 g/cm3

---

(2)
The following is a PBE-GGA calculation of a relaxed YEr4Tl2 crystal, from the Alexandria database.

Unit cell a=4.785 b=9.423 c=9.423 alpha=90.00 beta=90.00 gamma=90.00
Fractional coordinates of all 14 atoms:
Y1 0.500 0.000 0.000
Y2 0.000 0.500 0.500
Er1 0.000 0.112 0.357
Er2 0.000 0.888 0.643
Er3 0.500 0.143 0.612
Er4 0.500 0.857 0.388
Er5 0.500 0.388 0.857
Er6 0.500 0.612 0.143
Er7 0.000 0.357 0.112
Er8 0.000 0.643 0.888
Tl1 0.000 0.168 0.832
Tl2 0.000 0.832 0.168
Tl3 0.500 0.668 0.668
Tl4 0.500 0.332 0.332

Properties
Electronic total energy   -60.3 eV per cell
Energy relative to the elements   -101 meV/atom
Density of states at the Fermi level   13.0 states/eV per cell
Density   9.119 g/cm3